Entry 1
KSbTe2Rh: relaxed, GGA-PBE.

Total moment ... 1.9 μB/f.u.

Cell lengths 5.869, 5.869, 5.714 Å; angles 90.00, 90.00, 90.00 degrees
Element x y z (fractional)
K1 0.000 0.000 0.000
Sb1 0.000 0.000 0.500
Te1 0.000 0.500 0.000
Te2 0.500 0.000 0.000
Rh1 0.500 0.500 0.500

---

Entry 2
KSbTe2Rh: relaxed, GGA-PBE.

Total moment ... 0.0 μB/f.u.

Cell lengths 5.595, 5.595, 4.972 Å; angles 90.00, 90.00, 90.00 degrees
Element x y z (fractional)
K1 0.000 0.000 0.000
Sb1 0.500 0.500 0.000
Te1 0.000 0.500 0.500
Te2 0.500 0.000 0.500
Rh1 0.500 0.500 0.500

---

Stability summary - winner: entry 2; margin: 1750 meV/atom.

---

Entry 1
KScRh3: relaxed, GGA-PBE.

Total moment ... 0.7 μB/f.u.

Cell lengths 4.680, 4.680, 4.680 Å; angles 90.00, 90.00, 90.00 degrees
Element x y z (fractional)
K1 0.000 0.000 0.000
Sc1 0.500 0.500 0.500
Rh1 0.000 0.000 0.500
Rh2 0.000 0.500 0.000
Rh3 0.500 0.000 0.000

---

Entry 2
KScRh3: relaxed, GGA-PBE.

Total moment ... 1.1 μB/f.u.

Cell lengths 4.846, 4.846, 4.846 Å; angles 90.00, 90.00, 90.00 degrees
Element x y z (fractional)
K1 0.000 0.000 0.000
Sc1 0.500 0.500 0.500
Rh1 0.000 0.500 0.500
Rh2 0.500 0.000 0.500
Rh3 0.500 0.500 0.000

---

Stability summary - winner: entry 2; margin: 914 meV/atom.

---

Entry 1
K2Sn2Rh: relaxed, GGA-PBE.

Total moment ... 0.0 μB/f.u.

Cell lengths 8.672, 8.672, 8.672 Å; angles 153.61, 153.61, 37.67 degrees
Element x y z (fractional)
K1 0.250 0.750 0.500
K2 0.750 0.250 0.500
Sn1 0.083 0.083 0.000
Sn2 0.917 0.917 0.000
Rh1 0.500 0.500 0.000

---

Entry 2
K2Sn2Rh: relaxed, GGA-PBE.

Total moment ... 0.0 μB/f.u.

Cell lengths 7.005, 7.005, 6.014 Å; angles 90.00, 90.00, 90.00 degrees
Element x y z (fractional)
K1 0.179 0.321 0.000
K2 0.321 0.821 0.000
K3 0.679 0.179 0.000
K4 0.821 0.679 0.000
Sn1 0.150 0.650 0.500
Sn2 0.350 0.150 0.500
Sn3 0.650 0.850 0.500
Sn4 0.850 0.350 0.500
Rh1 0.000 0.000 0.500
Rh2 0.500 0.500 0.500

---

Stability summary - winner: entry 2; margin: 600 meV/atom.

---

Entry 1
K2SnRh: relaxed, GGA-PBE.

Total moment ... 0.0 μB/f.u.

Cell lengths 8.964, 8.964, 8.964 Å; angles 94.50, 94.50, 147.45 degrees
Element x y z (fractional)
K1 0.375 0.192 0.317
K2 0.808 0.125 0.183
K3 0.875 0.058 0.683
K4 0.942 0.625 0.817
Sn1 0.250 0.750 0.500
Sn2 0.500 0.500 0.000
Rh1 0.000 0.000 0.000
Rh2 0.750 0.250 0.500

---

Entry 2
K2SnRh: relaxed, GGA-PBE.

Total moment ... 0.0 μB/f.u.

Cell lengths 5.516, 5.516, 5.516 Å; angles 60.00, 60.00, 60.00 degrees
Element x y z (fractional)
K1 0.250 0.250 0.250
K2 0.750 0.750 0.750
Sn1 0.000 0.000 0.000
Rh1 0.500 0.500 0.500

---

Stability summary - winner: entry 1; margin: 517 meV/atom.

---

Entry 1
KSrRh2: relaxed, GGA-PBE.

Total moment ... 0.8 μB/f.u.

Cell lengths 4.426, 4.426, 4.607 Å; angles 90.00, 90.00, 90.00 degrees
Element x y z (fractional)
K1 0.000 0.000 0.000
Sr1 0.500 0.500 0.000
Rh1 0.000 0.500 0.500
Rh2 0.500 0.000 0.500

---

Entry 2
KSrRh2: relaxed, GGA-PBE.

Total moment ... 1.4 μB/f.u.

Cell lengths 4.391, 4.391, 8.956 Å; angles 104.28, 104.28, 57.20 degrees
Element x y z (fractional)
K1 0.000 0.000 0.000
Sr1 0.165 0.165 0.505
Rh1 0.432 0.432 0.279
Rh2 0.751 0.751 0.279

---

Entry 3
KSrRh2: relaxed, GGA-PBE.

Total moment ... 0.9 μB/f.u.

Cell lengths 5.477, 5.477, 3.316 Å; angles 90.00, 90.00, 113.31 degrees
Element x y z (fractional)
K1 0.000 0.000 0.000
Sr1 0.500 0.500 0.000
Rh1 0.000 0.500 0.500
Rh2 0.500 0.000 0.500

---

Stability summary - winner: entry 2; margin: 434 meV/atom.

---

Entry 1
KSrRh2: relaxed, GGA-PBE.

Total moment ... 1.0 μB/f.u.

Cell lengths 3.147, 3.147, 9.406 Å; angles 90.00, 90.00, 90.00 degrees
Element x y z (fractional)
K1 0.000 0.000 0.000
Sr1 0.000 0.000 0.500
Rh1 0.500 0.500 0.268
Rh2 0.500 0.500 0.732

---

Entry 2
KSrRh2: relaxed, GGA-PBE.

Total moment ... 0.0 μB/f.u.

Cell lengths 3.083, 4.676, 7.254 Å; angles 90.00, 90.51, 90.00 degrees
Element x y z (fractional)
K1 0.000 0.000 0.000
Sr1 0.000 0.000 0.500
Rh1 0.497 0.500 0.325
Rh2 0.503 0.500 0.675

---

Entry 3
KSrRh2: relaxed, GGA-PBE.

Total moment ... 0.0 μB/f.u.

Cell lengths 5.094, 5.094, 5.094 Å; angles 60.00, 60.00, 60.00 degrees
Element x y z (fractional)
K1 0.000 0.000 0.000
Sr1 0.500 0.500 0.500
Rh1 0.250 0.250 0.250
Rh2 0.750 0.750 0.750

---

Entry 4
KSrRh2: relaxed, GGA-PBE.

Total moment ... 1.4 μB/f.u.

Cell lengths 5.037, 5.037, 5.037 Å; angles 60.00, 60.00, 60.00 degrees
Element x y z (fractional)
K1 0.000 0.000 0.000
Sr1 0.750 0.750 0.750
Rh1 0.250 0.250 0.250
Rh2 0.500 0.500 0.500

---

Stability summary - winner: entry 2; margin: 110 meV/atom.

---

Entry 1
KTaRh: relaxed, GGA-PBE.

Total moment ... 0.0 μB/f.u.

Cell lengths 3.121, 3.121, 7.947 Å; angles 90.00, 90.00, 120.00 degrees
Element x y z (fractional)
K1 0.000 0.000 0.000
Ta1 0.333 0.667 0.586
Rh1 0.667 0.333 0.357

---

Entry 2
KTaRh: relaxed, GGA-PBE.

Total moment ... 0.0 μB/f.u.

Cell lengths 4.508, 4.508, 4.508 Å; angles 60.00, 60.00, 60.00 degrees
Element x y z (fractional)
K1 0.000 0.000 0.000
Ta1 0.250 0.250 0.250
Rh1 0.750 0.750 0.750

---

Stability summary - winner: entry 1; margin: 1929 meV/atom.